(1)
# TiHRh3 PBE relaxed
# Symmetry ... R3m (160)
# Density ... 9.9 g cm⁻³
# Crystal system ... trigonal
data_TiHRh3
_chemical_formula_sum 'Ti2 H2 Rh6'
_cell_length_a 5.540
_cell_length_b 5.546
_cell_length_c 5.548
_cell_angle_alpha 119.98
_cell_angle_beta 59.99
_cell_angle_gamma 89.97
_space_group_name_H-M_alt 'P 1'
_space_group_IT_number 1
loop_
_space_group_symop_operation_xyz
'x,y,z'
loop_
_atom_site_label
_atom_site_type_symbol
_atom_site_fract_x
_atom_site_fract_y
_atom_site_fract_z
H1 H 0.055 0.215 0.700
H2 H 0.860 0.614 0.497
Rh1 Rh 0.760 0.475 0.219
Rh2 Rh 0.760 0.992 0.736
Rh3 Rh 0.269 0.975 0.219
Rh4 Rh 0.760 0.475 0.736
Rh5 Rh 0.269 0.974 0.727
Rh6 Rh 0.270 0.482 0.726
Ti1 Ti 0.290 0.470 0.210
Ti2 Ti 0.768 0.978 0.225

(2)
# TiHRh3 PBE relaxed
# Symmetry ... R-3c (167)
# Density ... 9.7 g cm⁻³
# Crystal system ... trigonal
data_TiHRh3
_chemical_formula_sum 'Ti2 H2 Rh6'
_cell_length_a 4.967
_cell_length_b 4.967
_cell_length_c 4.967
_cell_angle_alpha 93.44
_cell_angle_beta 93.44
_cell_angle_gamma 93.44
_space_group_name_H-M_alt 'P 1'
_space_group_IT_number 1
loop_
_space_group_symop_operation_xyz
'x,y,z'
loop_
_atom_site_label
_atom_site_type_symbol
_atom_site_fract_x
_atom_site_fract_y
_atom_site_fract_z
H1 H 0.250 0.250 0.250
H2 H 0.750 0.750 0.750
Rh1 Rh 0.965 0.535 0.250
Rh2 Rh 0.535 0.250 0.965
Rh3 Rh 0.250 0.965 0.535
Rh4 Rh 0.750 0.035 0.465
Rh5 Rh 0.465 0.750 0.035
Rh6 Rh 0.035 0.465 0.750
Ti1 Ti 0.000 0.000 0.000
Ti2 Ti 0.500 0.500 0.500

Most favorable first, least favorable last: (1), (2)

(1)
# TiHRh3 PBE relaxed
# Symmetry ... P4mm (99)
# Density ... 7.2 g cm⁻³
# Crystal system ... tetragonal
data_TiHRh3
_chemical_formula_sum 'Ti1 H1 Rh3'
_cell_length_a 3.748
_cell_length_b 3.748
_cell_length_c 5.882
_cell_angle_alpha 90.00
_cell_angle_beta 90.00
_cell_angle_gamma 90.00
_space_group_name_H-M_alt 'P 1'
_space_group_IT_number 1
loop_
_space_group_symop_operation_xyz
'x,y,z'
loop_
_atom_site_label
_atom_site_type_symbol
_atom_site_fract_x
_atom_site_fract_y
_atom_site_fract_z
H1 H 0.500 0.500 0.481
Rh1 Rh 0.000 0.000 0.776
Rh2 Rh 0.500 0.000 0.434
Rh3 Rh 0.000 0.500 0.434
Ti1 Ti 0.000 0.000 0.139

(2)
# TiHRh3 PBE relaxed
# Symmetry ... Amm2 (38)
# Density ... 6.8 g cm⁻³
# Crystal system ... orthorhombic
data_TiHRh3
_chemical_formula_sum 'Ti1 H1 Rh3'
_cell_length_a 2.791
_cell_length_b 6.362
_cell_length_c 6.362
_cell_angle_alpha 129.56
_cell_angle_beta 90.00
_cell_angle_gamma 90.00
_space_group_name_H-M_alt 'P 1'
_space_group_IT_number 1
loop_
_space_group_symop_operation_xyz
'x,y,z'
loop_
_atom_site_label
_atom_site_type_symbol
_atom_site_fract_x
_atom_site_fract_y
_atom_site_fract_z
H1 H 0.000 0.458 0.542
Rh1 Rh 0.500 0.170 0.333
Rh2 Rh 0.500 0.667 0.830
Rh3 Rh 0.000 0.252 0.748
Ti1 Ti 0.500 0.081 0.919

(3)
# TiHRh3 PBE relaxed
# Symmetry ... Pm-3m (221)
# Density ... 10.0 g cm⁻³
# Crystal system ... cubic
data_TiHRh3
_chemical_formula_sum 'Ti1 H1 Rh3'
_cell_length_a 3.906
_cell_length_b 3.906
_cell_length_c 3.906
_cell_angle_alpha 90.00
_cell_angle_beta 90.00
_cell_angle_gamma 90.00
_space_group_name_H-M_alt 'P 1'
_space_group_IT_number 1
loop_
_space_group_symop_operation_xyz
'x,y,z'
loop_
_atom_site_label
_atom_site_type_symbol
_atom_site_fract_x
_atom_site_fract_y
_atom_site_fract_z
H1 H 0.000 0.000 0.000
Rh1 Rh 0.000 0.500 0.000
Rh2 Rh 0.000 0.000 0.500
Rh3 Rh 0.500 0.000 0.000
Ti1 Ti 0.500 0.500 0.500

(4)
# TiHRh3 PBE relaxed
# Symmetry ... I-4m2 (119)
# Density ... 8.9 g cm⁻³
# Crystal system ... tetragonal
data_TiHRh3
_chemical_formula_sum 'Ti2 H2 Rh6'
_cell_length_a 5.129
_cell_length_b 5.129
_cell_length_c 6.218
_cell_angle_alpha 65.64
_cell_angle_beta 65.64
_cell_angle_gamma 90.00
_space_group_name_H-M_alt 'P 1'
_space_group_IT_number 1
loop_
_space_group_symop_operation_xyz
'x,y,z'
loop_
_atom_site_label
_atom_site_type_symbol
_atom_site_fract_x
_atom_site_fract_y
_atom_site_fract_z
H1 H 0.000 0.000 0.000
H2 H 0.250 0.750 0.500
Rh1 Rh 0.124 0.875 0.251
Rh2 Rh 0.125 0.876 0.749
Rh3 Rh 0.125 0.375 0.749
Rh4 Rh 0.625 0.875 0.251
Rh5 Rh 0.368 0.368 0.264
Rh6 Rh 0.632 0.632 0.736
Ti1 Ti 0.581 0.081 0.838
Ti2 Ti 0.919 0.419 0.162

Most favorable first, least favorable last: (3), (4), (1), (2)